ErCuPbAu: relaxed, GGA-PBE.

## Properties
The formation energy is -0.348 eV per atom.

Geometry as CIF:
```
data_ErCuPbAu
_cell_length_a 4.9278
_cell_length_b 4.9278
_cell_length_c 4.9278
_cell_angle_alpha 60.00
_cell_angle_beta 60.00
_cell_angle_gamma 60.00
_space_group_name_H-M_alt 'P 1'
_space_group_IT_number 1
_space_group_name_Hall 'P 1'
loop_
_atom_site_label
_atom_site_type_symbol
_atom_site_fract_x
_atom_site_fract_y
_atom_site_fract_z
Er1 Er 0.0000 0.0000 0.0000
Cu1 Cu 0.7500 0.7500 0.7500
Pb1 Pb 0.5000 0.5000 0.5000
Au1 Au 0.2500 0.2500 0.2500
```

=====

ErCuPdAu: relaxed, GGA-PBE.

## Properties
The formation energy is -0.566 eV per atom.

Geometry as CIF:
```
data_ErCuPdAu
_cell_length_a 4.6876
_cell_length_b 4.6876
_cell_length_c 4.6876
_cell_angle_alpha 60.00
_cell_angle_beta 60.00
_cell_angle_gamma 60.00
_space_group_name_H-M_alt 'P 1'
_space_group_IT_number 1
_space_group_name_Hall 'P 1'
loop_
_atom_site_label
_atom_site_type_symbol
_atom_site_fract_x
_atom_site_fract_y
_atom_site_fract_z
Er1 Er 0.0000 0.0000 0.0000
Cu1 Cu 0.5000 0.5000 0.5000
Pd1 Pd 0.7500 0.7500 0.7500
Au1 Au 0.2500 0.2500 0.2500
```

=====

PrErCuAu: relaxed, GGA-PBE.

## Properties
The formation energy is -0.510 eV per atom. As for the energy above the lowest structure with this stoichiometry: 0.000 eV/atom.

Geometry as CIF:
```
data_PrErCuAu
_cell_length_a 4.5584
_cell_length_b 5.8630
_cell_length_c 5.8630
_cell_angle_alpha 38.03
_cell_angle_beta 90.00
_cell_angle_gamma 90.00
_space_group_name_H-M_alt 'P 1'
_space_group_IT_number 1
_space_group_name_Hall 'P 1'
loop_
_atom_site_label
_atom_site_type_symbol
_atom_site_fract_x
_atom_site_fract_y
_atom_site_fract_z
Pr1 Pr 0.0000 0.0000 0.0000
Er1 Er 0.5000 0.2784 0.2784
Cu1 Cu 0.5000 0.5653 0.5653
Au1 Au 0.0000 0.7212 0.7212
```